Entry 1:
Entry from Alexandria via LeMat-Bulk: a relaxed SmReOs crystal (PBE).

Its formation energy is -0.38 eV per formula unit. The value obtained for the distance to the lowest polymorph of the same formula is 0.000 eV per atom. The symmetry is Amm2.

Cell and atoms, written as POSCAR:
```
SmReOs
1.0
5.534 -0.126 0.000
-2.791 4.780 0.000
0.000 0.000 8.710
Sm Re Os
4 4 4
Direct
0.335 0.665 0.313 Sm
0.668 0.332 0.181 Sm
0.668 0.332 0.819 Sm
0.335 0.665 0.687 Sm
0.005 0.995 0.247 Re
0.005 0.995 0.753 Re
0.337 0.170 0.500 Re
0.830 0.663 0.500 Re
0.824 0.176 0.500 Os
0.654 0.828 0.000 Os
0.172 0.346 0.000 Os
0.169 0.831 0.000 Os
```

=====

Entry 2:
Entry from Alexandria via LeMat-Bulk: a relaxed VNi4Pt2 crystal (PBE).

Its formation energy is 4.73 eV per formula unit. The value obtained for the distance to the lowest polymorph of the same formula is 0.901 eV per atom. The symmetry is I4/mmm.

Cell and atoms, written as POSCAR:
```
VNi4Pt2
1.0
-3.344 2.504 -0.747
-2.582 -3.352 0.323
-3.532 0.586 5.720
Ni Pt V
4 2 1
Direct
0.179 0.179 0.642 Ni
0.821 0.821 0.358 Ni
0.000 0.500 0.000 Ni
0.500 0.000 0.000 Ni
0.382 0.382 0.237 Pt
0.618 0.618 0.763 Pt
0.000 0.000 0.000 V
```

=====

Entry 3:
Entry from Alexandria via LeMat-Bulk: a relaxed LiTh2Au crystal (PBE).

Its formation energy is -0.70 eV per formula unit. The symmetry is P4/mmm.

Cell and atoms, written as POSCAR:
```
LiTh2Au
1.0
-4.103 -1.146 0.815
1.206 -1.097 4.531
-0.991 4.513 1.356
Au Th Li
1 2 1
Direct
0.500 0.000 0.000 Au
0.000 0.000 0.500 Th
0.000 0.500 0.000 Th
0.500 0.500 0.500 Li
```

=====

Entry 4:
Entry from Alexandria via LeMat-Bulk: a relaxed NaSO3 crystal (PBE).

Its total energy is -2.771 eV per atom. The symmetry is Pm-3m.

Cell and atoms, written as POSCAR:
```
NaSO3
1.0
-2.385 1.391 2.903
1.420 -2.788 2.502
2.889 2.518 1.167
Na S O
1 1 3
Direct
0.000 0.000 0.000 Na
0.500 0.500 0.500 S
0.000 0.500 0.000 O
0.000 0.000 0.500 O
0.500 0.000 0.000 O
```

=====

The calculation returns the following total magnetization values, one per record and in order: 0.00, 0.00, 0.00, 2.89 μB/cell.